Entry 1:
An optimized crystal structure of CdSbOs2. Source: the Alexandria database, functional GGA-PBE.

Computed properties:
E_tot   -95.19 eV for the cell shown
Energy relative to the lowest polymorph listed for this composition   0.591 eV/atom

Cell lengths 6.5708, 6.5708, 6.5708 Å; angles 90.00, 90.00, 90.00 degrees
Closest atoms and distances in Å follow each position.
Space group F-43m (No. 216)
Asymmetric unit:
Cd 0.0000 0.0000 0.0000 (multiplicity 4)  4 Sb 2.85, 4 Os 2.85
Sb 0.2500 0.2500 0.2500 (multiplicity 4)  4 Os 2.85, 4 Cd 2.85
Os 0.0000 0.0000 0.5000 (multiplicity 4)  4 Sb 2.85, 4 Os 2.85
Os 0.2500 0.2500 0.7500 (multiplicity 4)  4 Cd 2.85, 4 Os 2.85

=====

Entry 2:
An optimized crystal structure of Ac3AsPtN. Source: the Alexandria database, functional GGA-PBE.

Computed properties:
E_tot   -76.24 eV for the cell shown

Cell lengths 9.1276, 4.3050, 9.9242 Å; angles 90.00, 100.30, 90.00 degrees
Closest atoms and distances in Å follow each position.
Space group P2_1/m (No. 11)
Asymmetric unit:
Ac 0.0912 0.2500 0.3478 (multiplicity 2)  3 Pt 3.00-3.07, 2 As 3.17
Ac 0.3279 0.2500 0.9915 (multiplicity 2)  3 N 2.43-2.51
Ac 0.3999 0.7500 0.6589 (multiplicity 2)  1 N 2.37
As 0.3282 0.7500 0.2920 (multiplicity 2)  4 Ac 3.17-3.26
Pt 0.1489 0.2500 0.6550 (multiplicity 2)  5 Ac 3.00-3.14
N 0.4122 0.7500 0.8993 (multiplicity 2)  4 Ac 2.37-2.51

=====

Entry 3:
An optimized crystal structure of KPdSe2. Source: the Alexandria database, functional GGA-PBE.

Computed properties:
E_tot   -61.25 eV for the cell shown

Cell lengths 7.8045, 7.8045, 7.1266 Å; angles 90.00, 90.00, 90.00 degrees
Closest atoms and distances in Å follow each position.
Space group I-42d (No. 122)
Asymmetric unit:
K 0.0000 0.0000 0.0000 (multiplicity 4)  8 Se 3.46-3.51, 2 Pd 3.56
Pd 0.0000 0.0000 0.5000 (multiplicity 4)  4 Se 2.45
Se 0.1519 0.2500 0.6250 (multiplicity 8)  2 Pd 2.45

=====

Entry 4:
An optimized crystal structure of MgBeBr. Source: the Alexandria database, functional GGA-PBE.

Computed properties:
E_tot   -6.63 eV for the cell shown
Energy relative to the lowest polymorph listed for this composition   0.000 eV/atom

Cell lengths 3.4996, 3.4996, 5.6317 Å; angles 90.00, 90.00, 120.00 degrees
Closest atoms and distances in Å follow each position.
Space group P3m1 (No. 156)
Asymmetric unit:
Mg 0.0000 0.0000 0.0000 (multiplicity 1)  3 Be 2.63
Be 0.6667 0.3333 0.2992 (multiplicity 1)  3 Br 2.59, 3 Mg 2.63
Br 0.3333 0.6667 0.5861 (multiplicity 1)  3 Be 2.59

=====

Entry 5:
An optimized crystal structure of Os2RhCl. Source: the Alexandria database, functional GGA-PBE.

Computed properties:
E_tot   -27.34 eV for the cell shown
Energy relative to the lowest polymorph listed for this composition   0.644 eV/atom

Cell lengths 4.7312, 2.7478, 4.8018 Å; angles 90.00, 108.26, 90.00 degrees
Closest atoms and distances in Å follow each position.
Space group P2/m (No. 10)
Asymmetric unit:
Os 0.0000 0.0000 0.0000 (multiplicity 1)  4 Cl 2.74, 6 Os 2.75-2.77, 2 Rh 2.79
Os 0.0000 0.5000 0.5000 (multiplicity 1)  4 Rh 2.74, 6 Os 2.75-2.77, 2 Cl 2.79
Rh 0.5000 0.0000 0.5000 (multiplicity 1)  6 Os 2.74-2.79, 2 Rh 2.75, 4 Cl 2.77
Cl 0.5000 0.5000 0.0000 (multiplicity 1)  6 Os 2.74-2.79, 2 Cl 2.75, 4 Rh 2.77

=====

Entry 6:
An optimized crystal structure of Ba3Cu2ReO8. Source: the Alexandria database, functional GGA-PBE.

Computed properties:
E_tot   -90.67 eV for the cell shown

Cell lengths 5.7472, 5.7472, 7.7349 Å; angles 90.00, 90.00, 120.00 degrees
Closest atoms and distances in Å follow each position.
Space group P-3m1 (No. 164)
Asymmetric unit:
Ba 0.0000 0.0000 0.0000 (multiplicity 1)  12 O 3.16-3.32
Ba 0.3333 0.6667 0.6591 (multiplicity 2)  1 O 2.45
Cu 0.3333 0.6667 0.2099 (multiplicity 2)  1 O 1.81
Re 0.0000 0.0000 0.5000 (multiplicity 1)  6 O 1.92
O 0.1565 0.3130 0.3554 (multiplicity 6)  1 Re 1.92, 1 Cu 2.09
O 0.3333 0.6667 0.9763 (multiplicity 2)  1 Cu 1.81

=====

Entry 7:
An optimized crystal structure of Zn5Cu4Ru. Source: the Alexandria database, functional GGA-PBE.

Computed properties:
E_tot   -32.62 eV for the cell shown
ΔE_f   -0.0591 eV/atom

Cell lengths 3.0203, 3.0203, 14.4679 Å; angles 90.00, 90.00, 90.00 degrees
Closest atoms and distances in Å follow each position.
Space group P4/mmm (No. 123)
Asymmetric unit:
Zn 0.0000 0.0000 0.0000 (multiplicity 1)  8 Cu 2.58, 2 Zn 2.86
Zn 0.0000 0.0000 0.1976 (multiplicity 2)  8 Cu 2.56-2.58, 1 Zn 2.86
Zn 0.0000 0.0000 0.3965 (multiplicity 2)  4 Cu 2.57, 4 Ru 2.61, 1 Zn 2.88
Cu 0.5000 0.5000 0.0995 (multiplicity 2)  8 Zn 2.56-2.58, 1 Cu 2.87
Cu 0.5000 0.5000 0.2977 (multiplicity 2)  8 Zn 2.57-2.58, 1 Cu 2.87
Ru 0.5000 0.5000 0.5000 (multiplicity 1)  8 Zn 2.61

=====

Entry 8:
An optimized crystal structure of NaPd3Rh4O12. Source: the Alexandria database, functional GGA-PBE.

Computed properties:
E_tot   -237.83 eV for the cell shown

Cell lengths 7.6188, 7.6188, 7.6188 Å; angles 90.00, 90.00, 90.00 degrees
Closest atoms and distances in Å follow each position.
Space group Im-3 (No. 204)
Asymmetric unit:
Na 0.0000 0.0000 0.0000 (multiplicity 2)  12 O 2.72
Pd 0.0000 0.0000 0.5000 (multiplicity 6)  4 O 2.00
Rh 0.2500 0.2500 0.2500 (multiplicity 8)  6 O 2.03
O 0.0000 0.3088 0.1792 (multiplicity 24)  1 Pd 2.00, 2 Rh 2.03